TbErLuMn (GGA-PBE, relaxed); Fermi-level density of states = 4.885 states/eV/f.u.; DFT formation energy = 6.18 kcal/mol of atoms; space-group type = F-43m
1.0
-1.9021 -0.7886 -4.8762
1.5858 -4.1939 -2.8132
-3.3529 -3.9912 -0.9195
Lu Mn Tb Er
1 1 1 1
Direct
0.7500 0.7500 0.7500
0.2500 0.2500 0.2500
0.5000 0.5000 0.5000
0.0000 0.0000 0.0000